No. 1
CePr2NdRh2 after structural relaxation, computed with GGA-PBE.

Computed properties:
The uncorrected energy is -0.23064 hartree per atom. For the theoretical density, the calculation gives 7.6 g/cm3. As for the space group: No. 72.

abc: 6.968 7.118 8.433
angles: 114.96 114.40 90.00
Sites, in units of the cell vectors:
Ce 0.750 0.500 0.000
Ce 0.250 0.500 0.000
Pr 0.695 0.904 0.390
Pr 0.195 0.486 0.390
Pr 0.805 0.514 0.610
Pr 0.305 0.096 0.610
Nd 0.250 0.000 0.000
Nd 0.750 0.000 0.000
Rh 0.399 0.622 0.799
Rh 0.601 0.378 0.201
Rh 0.101 0.823 0.201
Rh 0.899 0.177 0.799

=====

No. 2
Ce3PrNd4S8 after structural relaxation, computed with GGA-PBE.

Computed properties:
The uncorrected energy is -0.24634 hartree per atom. For the theoretical density, the calculation gives 6.1 g/cm3. Its formation energy without anion corrections is -2.0363 eV/atom. As for the space group: No. 166.

abc: 8.119 8.114 8.119
angles: 120.02 120.00 90.00
Site moments in Bohr magnetons follow the coordinates.
Sites, in units of the cell vectors:
Ce 0.500 0.500 0.000  0.62
Ce 0.500 0.500 0.500  0.62
Ce 0.000 0.500 0.500  0.62
Pr 0.000 0.500 0.000  0.02
Nd 0.500 0.000 0.000  0.02
Nd 0.500 0.000 0.500  0.00
Nd 0.000 0.000 0.000  0.00
Nd 0.000 0.000 0.500  0.00
S 0.251 0.748 0.997  -0.01
S 0.251 0.748 0.502  -0.01
S 0.251 0.253 0.502  -0.01
S 0.746 0.748 0.997  -0.01
S 0.254 0.252 0.003  -0.01
S 0.749 0.747 0.498  -0.01
S 0.749 0.252 0.498  -0.01
S 0.749 0.252 0.003  -0.01

=====

No. 3
Ce2Pr3NdS6 after structural relaxation, computed with GGA-PBE.

Computed properties:
The uncorrected energy is -0.24549 hartree per atom. For the theoretical density, the calculation gives 6.0 g/cm3. Its formation energy without anion corrections is -2.0351 eV/atom. As for the space group: No. 12.

abc: 7.053 7.053 7.065
angles: 99.60 99.60 120.04
Site moments in Bohr magnetons follow the coordinates.
Sites, in units of the cell vectors:
Ce 0.334 0.666 0.000  0.65
Ce 0.666 0.334 0.000  0.65
Pr 0.164 0.836 0.500  0.00
Pr 0.836 0.164 0.500  0.00
Pr 0.500 0.500 0.500  0.00
Nd 0.000 0.000 0.000  0.03
S 0.918 0.582 0.755  -0.01
S 0.745 0.745 0.243  -0.01
S 0.082 0.418 0.245  -0.01
S 0.582 0.918 0.755  -0.01
S 0.255 0.255 0.757  -0.01
S 0.418 0.082 0.245  -0.01

=====

No. 4
Ce2PrNd3S6 after structural relaxation, computed with GGA-PBE.

Computed properties:
The uncorrected energy is -0.24548 hartree per atom. For the theoretical density, the calculation gives 6.1 g/cm3. Its formation energy without anion corrections is -2.0368 eV/atom. As for the space group: No. 12.

abc: 7.032 7.032 7.044
angles: 99.59 99.59 120.05
Site moments in Bohr magnetons follow the coordinates.
Sites, in units of the cell vectors:
Ce 0.334 0.666 0.000  0.66
Ce 0.666 0.334 0.000  0.66
Pr 0.000 0.000 0.000  0.02
Nd 0.164 0.836 0.500  0.00
Nd 0.836 0.164 0.500  0.00
Nd 0.500 0.500 0.500  0.00
S 0.917 0.579 0.750  -0.01
S 0.745 0.745 0.247  -0.01
S 0.083 0.421 0.250  -0.01
S 0.579 0.917 0.750  -0.01
S 0.255 0.255 0.753  -0.01
S 0.421 0.083 0.250  -0.01

=====

> What is the formula in the second record?

Ce3PrNd4S8

=====

> Which value of uncorrected energy does entry 2 give?

-0.24634 hartree per atom

=====

> What is the theoretical density in the fourth record?

6.1 g/cm3

=====

> Which formula does entry 4 have?

Ce2PrNd3S6